[1]
## SnAsS2 (PBE)

Data for a relaxed SnAsS2 crystal.

Values from the calculation:
The calculation puts the density at 3.7 g cm⁻³. The calculation puts the uncorrected formation energy at -0.073 eV per atom.

CIF file:
```
data_SnAsS2
_chemical_formula_sum 'Sn4 As4 S8'
_symmetry_space_group_name_H-M 'P n m a'
_symmetry_Int_Tables_number 62
_cell_length_a 5.4851
_cell_length_b 4.0971
_cell_length_c 20.3819
_cell_angle_alpha 90.00
_cell_angle_beta 90.00
_cell_angle_gamma 90.00
loop_
_symmetry_equiv_pos_as_xyz
'x,y,z'
'-x,-y,-z'
'-x+1/2,-y,z+1/2'
'x+1/2,y,-z+1/2'
'x+1/2,-y+1/2,-z+1/2'
'-x+1/2,y+1/2,z+1/2'
'-x,y+1/2,-z'
'x,-y+1/2,z'
loop_
_atom_site_label
_atom_site_fract_x
_atom_site_fract_y
_atom_site_fract_z
Sn1 0.1199 0.2500 0.1637
As1 0.1489 0.7500 0.4339
S1 0.0923 0.7500 0.0800
S2 0.1071 0.2500 0.3741
```

[2]
## Sn2AsS (PBE)

Data for a relaxed Sn2AsS crystal.

Values from the calculation:
The calculation puts the density at 5.8 g cm⁻³. The calculation puts the uncorrected formation energy at -0.177 eV per atom. For the energy relative to the lowest polymorph listed for this composition, the calculation gives 0.0000 eV per atom.

CIF file:
```
data_Sn2AsS
_chemical_formula_sum 'Sn6 As3 S3'
_symmetry_space_group_name_H-M 'R -3 m'
_symmetry_Int_Tables_number 166
_symmetry_space_group_name_Hall '-R 3 2"'
_cell_length_a 4.1128
_cell_length_b 4.1128
_cell_length_c 20.0410
_cell_angle_alpha 90.00
_cell_angle_beta 90.00
_cell_angle_gamma 120.00
loop_
_atom_site_label
_atom_site_fract_x
_atom_site_fract_y
_atom_site_fract_z
Sn1 0.0000 0.0000 0.2486
As1 0.0000 0.0000 0.5000
S1 0.0000 0.0000 0.0000
```